1.
Material: ZrBe2
Method: DFT, PBE
State: relaxed

Its space-group type is P6_3/mmc.

```
6
Lattice="3.8237 0.0000 0.0000 -1.9119 3.3114 0.0000 0.0000 0.0000 6.4631" Properties=species:S:1:pos:R:3 pbc="T T T"
Zr 0.0000 0.0000 1.6158
Zr 0.0000 0.0000 4.8474
Be 0.0000 2.2076 0.1252
Be 0.0000 2.2076 3.1064
Be 1.9119 1.1038 3.3568
Be 1.9119 1.1038 6.3379
```


2.
Material: ZrBe2
Method: DFT, PBE
State: relaxed

Its space-group type is Immm.

```
6
Lattice="-1.7234 2.5748 4.5687 1.7234 -2.5748 4.5687 1.7234 2.5748 -4.5687" Properties=species:S:1:pos:R:3 pbc="T T T"
Zr 0.0000 0.0000 1.6531
Zr 0.0000 0.0000 7.4844
Be 1.7234 1.4888 0.0000
Be 1.7234 0.0000 3.5833
Be 0.0000 2.5748 0.9855
Be 0.0000 1.0861 4.5687
```


3.
Material: ZrBe13
Method: DFT, PBE
State: relaxed

Its space-group type is Fm-3c.

```
28
Lattice="0.0000 4.9965 4.9965 4.9965 0.0000 4.9965 4.9965 4.9965 0.0000" Properties=species:S:1:pos:R:3 pbc="T T T"
Zr 2.4982 2.4982 2.4982
Zr 7.4947 7.4947 7.4947
Be 0.0000 0.0000 0.0000
Be 4.9965 3.8386 1.7736
Be 8.2193 4.9965 3.8386
Be 6.1543 1.7736 4.9965
Be 6.1543 4.9965 3.2229
Be 4.9965 3.2229 3.8386
Be 6.7701 3.8386 4.9965
Be 4.9965 6.1543 1.7736
Be 3.8386 1.7736 4.9965
Be 8.2193 4.9965 6.1543
Be 3.8386 4.9965 3.2229
Be 6.7701 6.1543 4.9965
Be 4.9965 3.2229 6.1543
Be 4.9965 4.9965 4.9965
Be 4.9965 6.7701 3.8386
Be 3.2229 3.8386 4.9965
Be 6.1543 4.9965 6.7701
Be 1.7736 4.9965 3.8386
Be 6.1543 8.2193 4.9965
Be 4.9965 3.8386 8.2193
Be 3.2229 6.1543 4.9965
Be 4.9965 6.7701 6.1543
Be 3.8386 4.9965 6.7701
Be 3.8386 8.2193 4.9965
Be 1.7736 4.9965 6.1543
Be 4.9965 6.1543 8.2193
```


4.
Material: ZrBe2
Method: DFT, PBE
State: relaxed

Its space-group type is P-3m1.

```
3
Lattice="2.7615 0.0000 0.0000 -1.3808 2.3916 0.0000 0.0000 0.0000 6.5228" Properties=species:S:1:pos:R:3 pbc="T T T"
Zr 0.0000 0.0000 0.0000
Be 0.0000 1.5944 2.4044
Be 1.3808 0.7972 4.1184
```


no.,total DFT energy (no corrections) (eV/atom),size of the total moment (μB/f.u.)
1,-5.51,0.00
2,-5.44,0.00
3,-4.29,0.00
4,-4.82,0.00